Run P
The following is a PBE calculation of a geometry-optimized Zn2PBr structure, from the Alexandria database.

The calculation puts the density of states at the Fermi level at 0.23 states/eV/atom.

The space group is Imm2 (No. 44) and the conventional cell measures 3.3879, 3.6368 and 14.2868 Å, with angles of 90.00, 90.00 and 90.00 degrees. The distinct sites, in fractional coordinates, are Zn at (0.0000, 0.0000, 0.0000), Zn at (0.0000, 0.5000, 0.1597), P at (0.0000, 0.5000, 0.6352) and Br at (0.0000, 0.0000, 0.4030).



Run Q
The following is a PBE calculation of a geometry-optimized Zn2PBr structure, from the Alexandria database.

The calculation puts the density of states at the Fermi level at 0.38 states/eV/atom.

The space group is P4mm (No. 99) and the conventional cell measures 3.5741, 3.5741 and 6.8324 Å, with angles of 90.00, 90.00 and 90.00 degrees. The distinct sites, in fractional coordinates, are Zn at (0.0000, 0.0000, 0.0000), Zn at (0.5000, 0.5000, 0.3517), P at (0.5000, 0.5000, 0.0161) and Br at (0.0000, 0.0000, 0.5265).



Need the numbers? Relative energies in meV per atom: run P 109; run Q 0.



Run P
The following is a PBE calculation of a geometry-optimized AlIrCl structure, from the Alexandria database.

The calculation puts the density of states at the Fermi level at 0.89 states/eV/atom.

The space group is F-43m (No. 216) and the conventional cell measures 6.0466, 6.0466 and 6.0466 Å, with angles of 90.00, 90.00 and 90.00 degrees. The distinct sites, in fractional coordinates, are Al at (0.0000, 0.0000, 0.0000), Ir at (0.2500, 0.2500, 0.7500) and Cl at (0.2500, 0.2500, 0.2500).



Run Q
The following is a PBE calculation of a geometry-optimized AlIrCl structure, from the Alexandria database.

The calculation puts the density of states at the Fermi level at 0.58 states/eV/atom.

The space group is F-43m (No. 216) and the conventional cell measures 6.0093, 6.0093 and 6.0093 Å, with angles of 90.00, 90.00 and 90.00 degrees. The distinct sites, in fractional coordinates, are Al at (0.0000, 0.0000, 0.0000), Ir at (0.2500, 0.2500, 0.7500) and Cl at (0.0000, 0.0000, 0.5000).



Need the numbers? Relative energies in meV per atom: run P 312; run Q 0.



Run P
The following is a PBE calculation of a geometry-optimized TaTlCl2 structure, from the Alexandria database.

The calculation puts the density of states at the Fermi level at 0.97 states/eV/atom.

The space group is F-43m (No. 216) and the conventional cell measures 7.1932, 7.1932 and 7.1932 Å, with angles of 90.00, 90.00 and 90.00 degrees. The distinct sites, in fractional coordinates, are Ta at (0.0000, 0.0000, 0.0000), Tl at (0.2500, 0.2500, 0.7500), Cl at (0.0000, 0.0000, 0.5000) and Cl at (0.2500, 0.2500, 0.2500).



Run Q
The following is a PBE calculation of a geometry-optimized TaTlCl2 structure, from the Alexandria database.

The calculation puts the density of states at the Fermi level at 0.39 states/eV/atom.

The space group is P4/mmm (No. 123) and the conventional cell measures 5.3652, 5.3652 and 3.2193 Å, with angles of 90.00, 90.00 and 90.00 degrees. The distinct sites, in fractional coordinates, are Ta at (0.0000, 0.0000, 0.0000), Tl at (0.5000, 0.5000, 0.0000) and Cl at (0.0000, 0.5000, 0.5000).



Need the numbers? Relative energies in meV per atom: run P 286; run Q 0.